[1]
Below is a geometry-optimized Ga3ReIr structure, with properties calculated at the PBE-GGA level.

total magnetization	0.8011	μB/atom
relative energy among the computed polymorphs	0.0	meV/atom
Fermi-level density of states	4.7	states/eV/cell
calculated formation energy	85.8	kJ/mol of atoms
V	108.1	Å³/f.u.
space-group type	No. 221

a = 4.7632 Å, b = 4.7632 Å, c = 4.7632 Å
α = 90.00°, β = 90.00°, γ = 90.00°
With the nearest neighbours (Å) after each atom.
Positions (direct):
Ga1 0.0000 0.0000 0.5000  2 Ir 2.38
Ga2 0.0000 0.5000 0.0000  2 Ir 2.38
Ga3 0.5000 0.0000 0.0000  2 Ir 2.38
Re1 0.5000 0.5000 0.5000  12 Ga 3.37
Ir1 0.0000 0.0000 0.0000  6 Ga 2.38

---

[2]
Below is a geometry-optimized Bi4Pb5Au structure, with properties calculated at the PBE-GGA level.

total magnetization	0.0000	μB/atom
Fermi-level density of states	4.6	states/eV/cell
calculated formation energy	5.3	kJ/mol of atoms
V	320.0	Å³/f.u.
space-group type	No. 12

a = 9.5283 Å, b = 9.5283 Å, c = 7.5419 Å
α = 101.07°, β = 101.07°, γ = 28.48°
With the nearest neighbours (Å) after each atom.
Positions (direct):
Bi1 0.0540 0.0540 0.2289  2 Au 2.96, 1 Pb 3.29
Bi2 0.3345 0.3345 0.9745  1 Au 3.02, 2 Pb 3.33
Bi3 0.6655 0.6655 0.0255  1 Au 3.02, 2 Pb 3.33
Bi4 0.9460 0.9460 0.7711  2 Au 2.96, 1 Pb 3.29
Pb1 0.1262 0.1262 0.6884  5 Pb 3.41-3.73, 4 Bi 3.43-3.51
Pb2 0.2359 0.2359 0.3231  4 Bi 3.29-3.48, 4 Pb 3.47-3.51
Pb3 0.5000 0.5000 0.5000  4 Bi 3.39, 4 Pb 3.41, 2 Au 3.77
Pb4 0.7641 0.7641 0.6769  4 Bi 3.29-3.48, 4 Pb 3.47-3.51
Pb5 0.8738 0.8738 0.3116  5 Pb 3.41-3.73, 4 Bi 3.43-3.51
Au1 0.5000 0.5000 0.0000  6 Bi 2.96-3.02

---

[3]
Below is a geometry-optimized Ca2ZnMo structure, with properties calculated at the PBE-GGA level.

total magnetization	0.0001	μB/atom
Fermi-level density of states	3.5	states/eV/cell
calculated formation energy	44.6	kJ/mol of atoms
V	89.6	Å³/f.u.
space-group type	No. 123

a = 3.0576 Å, b = 3.0576 Å, c = 9.5829 Å
α = 90.00°, β = 90.00°, γ = 90.00°
With the nearest neighbours (Å) after each atom.
Positions (direct):
Ca1 0.0000 0.0000 0.2485  4 Ca 3.06, 4 Mo 3.22, 4 Zn 3.24
Ca2 0.0000 0.0000 0.7515  4 Ca 3.06, 4 Mo 3.22, 4 Zn 3.24
Zn1 0.5000 0.5000 0.5000  4 Zn 3.06, 8 Ca 3.24
Mo1 0.5000 0.5000 0.0000  4 Mo 3.06, 8 Ca 3.22

---

[4]
Below is a geometry-optimized NaSr3Br7 structure, with properties calculated at the PBE-GGA level.

total magnetization	0.0000	μB/atom
uncorrected energy	-3.628	eV per atom
Fermi-level density of states	0.0	states/eV/cell
V	392.9	Å³/f.u.
space-group type	No. 20

a = 9.0108 Å, b = 9.0108 Å, c = 10.1385 Å
α = 90.00°, β = 90.00°, γ = 107.33°
With the nearest neighbours (Å) after each atom.
Positions (direct):
Na1 0.9998 0.9998 0.0000  6 Br 2.89-3.10
Na2 0.0002 0.0002 0.5000  6 Br 2.89-3.10
Sr1 0.0054 0.5469 0.7496  7 Br 3.08-3.23
Sr2 0.4531 0.9946 0.7504  7 Br 3.08-3.23
Sr3 0.4998 0.4998 0.0000  8 Br 3.17-3.36
Sr4 0.5002 0.5002 0.5000  8 Br 3.17-3.36
Sr5 0.5469 0.0054 0.2504  7 Br 3.08-3.23
Sr6 0.9946 0.4531 0.2496  7 Br 3.08-3.23
Br1 0.0955 0.9045 0.7500  2 Na 2.89, 2 Sr 3.08
Br2 0.1111 0.3591 0.9741  1 Na 3.10, 3 Sr 3.15-3.36
Br3 0.1115 0.3596 0.5252  1 Na 3.10, 3 Sr 3.15-3.36
Br4 0.3591 0.1111 0.0259  1 Na 3.10, 3 Sr 3.15-3.36
Br5 0.3596 0.1115 0.4748  1 Na 3.10, 3 Sr 3.15-3.36
Br6 0.3609 0.6391 0.2500  4 Sr 3.23-3.24
Br7 0.3690 0.6310 0.7500  4 Sr 3.13-3.17
Br8 0.6310 0.3690 0.2500  4 Sr 3.13-3.17
Br9 0.6391 0.3609 0.7500  4 Sr 3.23-3.24
Br10 0.6404 0.8885 0.9748  1 Na 3.10, 3 Sr 3.15-3.36
Br11 0.6409 0.8889 0.5259  1 Na 3.10, 3 Sr 3.15-3.36
Br12 0.8885 0.6404 0.0252  1 Na 3.10, 3 Sr 3.15-3.36
Br13 0.8889 0.6409 0.4741  1 Na 3.10, 3 Sr 3.15-3.36
Br14 0.9045 0.0955 0.2500  2 Na 2.89, 2 Sr 3.08

---

[5]
Below is a geometry-optimized K2ZnRh structure, with properties calculated at the PBE-GGA level.

total magnetization	0.0000	μB/atom
Fermi-level density of states	1.6	states/eV/cell
calculated formation energy	52.1	kJ/mol of atoms
V	103.9	Å³/f.u.
space-group type	No. 12

a = 5.6480 Å, b = 5.6480 Å, c = 3.7657 Å
α = 90.06°, β = 90.06°, γ = 120.13°
With the nearest neighbours (Å) after each atom.
Positions (direct):
K1 0.0000 0.5000 0.0000  2 K 2.82
K2 0.5000 0.0000 0.0000  2 K 2.82
Zn1 0.0000 0.0000 0.5000  2 Rh 2.82
Rh1 0.5000 0.5000 0.5000  2 Zn 2.82

---

[6]
Below is a geometry-optimized CeCdIn structure, with properties calculated at the PBE-GGA level.

total magnetization	0.4296	μB/atom
Fermi-level density of states	6.8	states/eV/cell
calculated formation energy	-30.7	kJ/mol of atoms
V	78.3	Å³/f.u.
space-group type	No. 187

a = 5.0660 Å, b = 5.0660 Å, c = 3.5247 Å
α = 90.00°, β = 90.00°, γ = 120.00°
With the nearest neighbours (Å) after each atom.
Positions (direct):
Ce1 0.0000 0.0000 0.0000  6 Cd 3.41, 6 In 3.41, 2 Ce 3.52
Cd1 0.6667 0.3333 0.5000  3 In 2.92
In1 0.3333 0.6667 0.5000  3 Cd 2.92

---

[7]
Below is a geometry-optimized Li4PaCd5 structure, with properties calculated at the PBE-GGA level.

total magnetization	0.0003	μB/atom
Fermi-level density of states	6.2	states/eV/cell
calculated formation energy	-16.3	kJ/mol of atoms
V	194.5	Å³/f.u.
space-group type	No. 123

a = 3.1156 Å, b = 3.1156 Å, c = 20.0321 Å
α = 90.00°, β = 90.00°, γ = 90.00°
With the nearest neighbours (Å) after each atom.
Positions (direct):
Li1 0.0000 0.0000 0.0937  8 Cd 2.89-2.91, 4 Li 3.12
Li2 0.0000 0.0000 0.2834  8 Cd 2.87-2.91, 4 Li 3.12
Li3 0.0000 0.0000 0.7166  8 Cd 2.87-2.91, 4 Li 3.12
Li4 0.0000 0.0000 0.9063  8 Cd 2.89-2.91, 4 Li 3.12
Pa1 0.0000 0.0000 0.5000  4 Pa 3.12, 8 Cd 3.33
Cd1 0.5000 0.5000 0.0000  8 Li 2.89, 4 Cd 3.12
Cd2 0.5000 0.5000 0.1888  8 Li 2.91, 4 Cd 3.12
Cd3 0.5000 0.5000 0.3756  4 Li 2.87, 4 Cd 3.12
Cd4 0.5000 0.5000 0.6244  4 Li 2.87, 4 Cd 3.12
Cd5 0.5000 0.5000 0.8112  8 Li 2.91, 4 Cd 3.12